{"formula": "YTaBePt2", "functional": "PBEsol", "state": "relaxed", "total_energy_ev_per_cell": -31.557, "lattice_angstrom": [[-0.187, 4.767, 0.545], [-1.611, 0.452, -4.500], [-4.959, -0.393, 1.736]], "species": ["Y", "Be", "Pt", "Pt", "Ta"], "fractional_positions": [[0.000, 0.000, 0.500], [0.500, 0.500, 0.500], [0.000, 0.500, 0.000], [0.500, 0.000, 0.000], [0.000, 0.000, 0.000]]}